## P
Entry from Alexandria: a relaxed structure of LiCSe3 (PBE-GGA).

```
LiCSe3
1.0
4.5867 0.0000 0.0000
0.0000 4.5867 0.0000
0.0000 0.0000 4.5867
C Se Li
1 3 1
Direct
0.5000 0.5000 0.5000 C
0.0000 0.5000 0.0000 Se
0.5000 0.0000 0.0000 Se
0.0000 0.0000 0.5000 Se
0.0000 0.0000 0.0000 Li
```

---

## Q
Entry from Alexandria: a relaxed structure of LiCSe3 (PBE-GGA).

```
LiCSe3
1.0
4.4796 0.0000 0.0000
0.0000 4.4796 0.0000
0.0000 0.0000 4.4796
Se C Li
3 1 1
Direct
0.0000 0.0000 0.5000 Se
0.5000 0.0000 0.0000 Se
0.0000 0.5000 0.0000 Se
0.0000 0.0000 0.0000 C
0.5000 0.5000 0.5000 Li
```

---

Energies, relative to the best one, in eV/atom: P 0.900; Q 0.000.